The following is a DFT calculation (PBEsol) of crystalline Si2Bi2Br at its relaxed geometry.

Structure (extended XYZ):
```
10
Lattice="4.243 0.000 0.000 0.000 4.243 0.000 0.000 0.000 14.830" Properties=species:S:1:pos:R:3 pbc="T T T"
Si 0.000 2.122 3.707
Si 0.000 2.122 11.122
Si 2.122 0.000 3.707
Si 2.122 0.000 11.122
Bi 0.000 0.000 1.858
Bi 0.000 0.000 12.972
Bi 2.122 2.122 5.557
Bi 2.122 2.122 9.273
Br 0.000 0.000 7.415
Br 2.122 2.122 0.000
```

Calculated values
spin magnetization = 0.00 μB per cell
DOS(E_F) = 0.69 states/eV/f.u.
symmetry = I4/mmm
uncorrected formation energy = 0.084 eV per atom
E = -4.303 eV per atom